Entry 1:
The following is a DFT calculation (PBE) of an optimized crystal structure of LuGaSi.

Computed properties:
Uncorrected formation energy   -0.517 eV per atom
DOS at the Fermi energy   0.8 states/eV/cell

Geometry as CIF:
```
data_LuGaSi
_symmetry_space_group_name_H-M 'P 3 m 1'
_symmetry_Int_Tables_number 156
_cell_length_a 4.1215
_cell_length_b 4.1215
_cell_length_c 3.8455
_cell_angle_alpha 90.00
_cell_angle_beta 90.00
_cell_angle_gamma 120.00
loop_
_symmetry_equiv_pos_as_xyz
'x,y,z'
'-y,x-y,z'
'-x+y,-x,z'
'-y,-x,z'
'-x+y,y,z'
'x,x-y,z'
loop_
_atom_site_label
_atom_site_fract_x
_atom_site_fract_y
_atom_site_fract_z
Lu1 0.0000 0.0000 0.0000
Ga1 0.6667 0.3333 0.4966
Si1 0.3333 0.6667 0.5029
```



Entry 2:
The following is a DFT calculation (PBE) of an optimized crystal structure of ErTmGaGe.

Computed properties:
DFT formation energy   -2.25 eV/f.u.
DOS at the Fermi energy   12.7 states/eV/cell
Distance to the lowest polymorph of the same formula   216 meV per atom

Geometry as CIF:
```
data_ErTmGaGe
_symmetry_space_group_name_H-M 'F -4 3 m'
_symmetry_Int_Tables_number 216
_symmetry_space_group_name_Hall 'F -4 2 3'
_cell_length_a 7.079
_cell_length_b 7.079
_cell_length_c 7.079
_cell_angle_alpha 90.00
_cell_angle_beta 90.00
_cell_angle_gamma 90.00
loop_
_atom_site_label
_atom_site_fract_x
_atom_site_fract_y
_atom_site_fract_z
Er1 0.000 0.000 0.000
Tm1 0.000 0.000 0.500
Ga1 0.250 0.250 0.250
Ge1 0.250 0.250 0.750
```



Entry 3:
The following is a DFT calculation (PBE) of an optimized crystal structure of Pm4Nd2Ho2Er.

Computed properties:
DFT formation energy   0.18 eV/f.u.
DOS at the Fermi energy   28.2 states/eV/cell

Geometry as CIF:
```
data_Pm4Nd2Ho2Er
_symmetry_space_group_name_H-M 'C 1 2/m 1'
_symmetry_Int_Tables_number 12
_cell_length_a 15.361
_cell_length_b 5.118
_cell_length_c 8.056
_cell_angle_alpha 90.00
_cell_angle_beta 108.57
_cell_angle_gamma 90.00
loop_
_symmetry_equiv_pos_as_xyz
'x,y,z'
'-x,-y,-z'
'-x,y,-z'
'x,-y,z'
'x+1/2,y+1/2,z'
'-x+1/2,-y+1/2,-z'
'-x+1/2,y+1/2,-z'
'x+1/2,-y+1/2,z'
loop_
_atom_site_label
_atom_site_fract_x
_atom_site_fract_y
_atom_site_fract_z
Pm1 0.055 0.000 0.330
Pm2 0.222 0.500 0.330
Nd1 0.112 0.500 0.669
Ho1 0.166 0.000 0.000
Er1 0.000 0.500 0.000
```



Entry 4:
The following is a DFT calculation (PBE) of an optimized crystal structure of Al2TlCl.

Computed properties:
Uncorrected formation energy   0.099 eV per atom
DOS at the Fermi energy   1.5 states/eV/cell
Distance to the lowest polymorph of the same formula   230 meV per atom

Geometry as CIF:
```
data_Al2TlCl
_symmetry_space_group_name_H-M 'P m m m'
_symmetry_Int_Tables_number 47
_cell_length_a 3.245
_cell_length_b 5.031
_cell_length_c 5.876
_cell_angle_alpha 90.00
_cell_angle_beta 90.00
_cell_angle_gamma 90.00
loop_
_symmetry_equiv_pos_as_xyz
'x,y,z'
'-x,-y,-z'
'-x,-y,z'
'x,y,-z'
'x,-y,-z'
'-x,y,z'
'-x,y,-z'
'x,-y,z'
loop_
_atom_site_label
_atom_site_fract_x
_atom_site_fract_y
_atom_site_fract_z
Al1 0.000 0.000 0.242
Tl1 0.500 0.500 0.500
Cl1 0.500 0.500 0.000
```



Entry 5:
The following is a DFT calculation (PBE) of an optimized crystal structure of TeMo2As.

Computed properties:
Uncorrected formation energy   0.115 eV per atom
DOS at the Fermi energy   6.7 states/eV/cell
Distance to the lowest polymorph of the same formula   58 meV per atom

Geometry as CIF:
```
data_TeMo2As
_symmetry_space_group_name_H-M 'I m m 2'
_symmetry_Int_Tables_number 44
_cell_length_a 3.289
_cell_length_b 3.494
_cell_length_c 12.997
_cell_angle_alpha 90.00
_cell_angle_beta 90.00
_cell_angle_gamma 90.00
loop_
_symmetry_equiv_pos_as_xyz
'x,y,z'
'-x,-y,z'
'-x,y,z'
'x,-y,z'
'x+1/2,y+1/2,z+1/2'
'-x+1/2,-y+1/2,z+1/2'
'-x+1/2,y+1/2,z+1/2'
'x+1/2,-y+1/2,z+1/2'
loop_
_atom_site_label
_atom_site_fract_x
_atom_site_fract_y
_atom_site_fract_z
Te1 0.000 0.000 0.000
Mo1 0.000 0.000 0.390
Mo2 0.000 0.500 0.681
As1 0.000 0.500 0.248
```



Entry 6:
The following is a DFT calculation (PBE) of an optimized crystal structure of CsHfAl.

Computed properties:
DFT formation energy   1.82 eV/f.u.
DOS at the Fermi energy   14.7 states/eV/cell
Distance to the lowest polymorph of the same formula   490 meV per atom

Geometry as CIF:
```
data_CsHfAl
_symmetry_space_group_name_H-M 'P n m a'
_symmetry_Int_Tables_number 62
_cell_length_a 11.879
_cell_length_b 3.312
_cell_length_c 10.146
_cell_angle_alpha 90.00
_cell_angle_beta 90.00
_cell_angle_gamma 90.00
loop_
_symmetry_equiv_pos_as_xyz
'x,y,z'
'-x,-y,-z'
'-x+1/2,-y,z+1/2'
'x+1/2,y,-z+1/2'
'x+1/2,-y+1/2,-z+1/2'
'-x+1/2,y+1/2,z+1/2'
'-x,y+1/2,-z'
'x,-y+1/2,z'
loop_
_atom_site_label
_atom_site_fract_x
_atom_site_fract_y
_atom_site_fract_z
Cs1 0.144 0.250 0.062
Hf1 0.068 0.250 0.414
Al1 0.105 0.250 0.699
```



Entry 7:
The following is a DFT calculation (PBE) of an optimized crystal structure of TaNb2Sb.

Computed properties:
Uncorrected formation energy   -0.103 eV per atom
DOS at the Fermi energy   2.0 states/eV/cell

Geometry as CIF:
```
data_TaNb2Sb
_symmetry_space_group_name_H-M 'P 4/m m m'
_symmetry_Int_Tables_number 123
_symmetry_space_group_name_Hall '-P 4 2'
_cell_length_a 4.439
_cell_length_b 4.439
_cell_length_c 3.814
_cell_angle_alpha 90.00
_cell_angle_beta 90.00
_cell_angle_gamma 90.00
loop_
_atom_site_label
_atom_site_fract_x
_atom_site_fract_y
_atom_site_fract_z
Ta1 0.000 0.000 0.000
Nb1 0.000 0.500 0.500
Sb1 0.500 0.500 0.000
```



Entry 8:
The following is a DFT calculation (PBE) of an optimized crystal structure of UNbN.

Computed properties:
Uncorrected formation energy   -0.182 eV per atom
DOS at the Fermi energy   9.9 states/eV/cell
Distance to the lowest polymorph of the same formula   436 meV per atom

Geometry as CIF:
```
data_UNbN
_symmetry_space_group_name_H-M 'I 4 m m'
_symmetry_Int_Tables_number 107
_symmetry_space_group_name_Hall 'I 4 -2'
_cell_length_a 2.972
_cell_length_b 2.972
_cell_length_c 12.165
_cell_angle_alpha 90.00
_cell_angle_beta 90.00
_cell_angle_gamma 90.00
loop_
_atom_site_label
_atom_site_fract_x
_atom_site_fract_y
_atom_site_fract_z
U1 0.000 0.000 0.000
Nb1 0.000 0.000 0.698
N1 0.000 0.000 0.223
```



Entry 9:
The following is a DFT calculation (PBE) of an optimized crystal structure of BaIn2Cu.

Computed properties:
DFT formation energy   -0.32 eV/f.u.
DOS at the Fermi energy   4.4 states/eV/cell

Geometry as CIF:
```
data_BaIn2Cu
_symmetry_space_group_name_H-M 'I m m m'
_symmetry_Int_Tables_number 71
_symmetry_space_group_name_Hall '-I 2 2'
_cell_length_a 3.973
_cell_length_b 6.059
_cell_length_c 9.735
_cell_angle_alpha 90.00
_cell_angle_beta 90.00
_cell_angle_gamma 90.00
loop_
_atom_site_label
_atom_site_fract_x
_atom_site_fract_y
_atom_site_fract_z
Ba1 0.000 0.000 0.000
In1 0.000 0.500 0.195
Cu1 0.000 0.000 0.500
```



Entry 10:
The following is a DFT calculation (PBE) of an optimized crystal structure of ThGe3Pt5.

Computed properties:
DFT formation energy   -5.78 eV/f.u.
DOS at the Fermi energy   6.9 states/eV/cell

Geometry as CIF:
```
data_ThGe3Pt5
_symmetry_space_group_name_H-M 'P 1 21/m 1'
_symmetry_Int_Tables_number 11
_cell_length_a 3.848
_cell_length_b 13.699
_cell_length_c 6.656
_cell_angle_alpha 90.00
_cell_angle_beta 106.51
_cell_angle_gamma 90.00
loop_
_symmetry_equiv_pos_as_xyz
'x,y,z'
'-x,-y,-z'
'-x,y+1/2,-z'
'x,-y+1/2,z'
loop_
_atom_site_label
_atom_site_fract_x
_atom_site_fract_y
_atom_site_fract_z
Th1 0.188 0.250 0.363
Ge1 0.080 0.750 0.158
Ge2 0.367 0.520 0.733
Pt1 0.000 0.000 0.000
Pt2 0.201 0.607 0.400
Pt3 0.492 0.151 0.986
```



Entry 11:
The following is a DFT calculation (PBE) of an optimized crystal structure of LiPuGeN3.

Computed properties:
Uncorrected formation energy   -0.286 eV per atom
DOS at the Fermi energy   13.4 states/eV/cell

Geometry as CIF:
```
data_LiPuGeN3
_symmetry_space_group_name_H-M 'P 1 21/m 1'
_symmetry_Int_Tables_number 11
_cell_length_a 6.093
_cell_length_b 3.265
_cell_length_c 10.135
_cell_angle_alpha 90.00
_cell_angle_beta 104.38
_cell_angle_gamma 90.00
loop_
_symmetry_equiv_pos_as_xyz
'x,y,z'
'-x,-y,-z'
'-x,y+1/2,-z'
'x,-y+1/2,z'
loop_
_atom_site_label
_atom_site_fract_x
_atom_site_fract_y
_atom_site_fract_z
Li1 0.169 0.250 0.104
Pu1 0.310 0.750 0.868
Ge1 0.167 0.250 0.577
N1 0.101 0.250 0.885
N2 0.170 0.750 0.478
N3 0.452 0.750 0.101
```



Entry 12:
The following is a DFT calculation (PBE) of an optimized crystal structure of Cd2HgAs.

Computed properties:
DFT formation energy   0.57 eV/f.u.
DOS at the Fermi energy   3.3 states/eV/cell
Distance to the lowest polymorph of the same formula   128 meV per atom

Geometry as CIF:
```
data_Cd2HgAs
_symmetry_space_group_name_H-M 'C m m m'
_symmetry_Int_Tables_number 65
_symmetry_space_group_name_Hall '-C 2 2'
_cell_length_a 4.143
_cell_length_b 5.048
_cell_length_c 8.763
_cell_angle_alpha 90.00
_cell_angle_beta 90.00
_cell_angle_gamma 90.00
loop_
_atom_site_label
_atom_site_fract_x
_atom_site_fract_y
_atom_site_fract_z
Cd1 0.000 0.000 0.238
Hg1 0.000 0.500 0.500
As1 0.000 0.500 0.000
```



Entry 13:
The following is a DFT calculation (PBE) of an optimized crystal structure of Tb2Dy3Er6In.

Computed properties:
DFT formation energy   -0.54 eV/f.u.
DOS at the Fermi energy   32.6 states/eV/cell

Geometry as CIF:
```
data_Tb2Dy3Er6In
_symmetry_space_group_name_H-M 'C 1 2/m 1'
_symmetry_Int_Tables_number 12
_cell_length_a 6.042
_cell_length_b 10.473
_cell_length_c 11.584
_cell_angle_alpha 90.00
_cell_angle_beta 100.08
_cell_angle_gamma 90.00
loop_
_symmetry_equiv_pos_as_xyz
'x,y,z'
'-x,-y,-z'
'-x,y,-z'
'x,-y,z'
'x+1/2,y+1/2,z'
'-x+1/2,-y+1/2,-z'
'-x+1/2,y+1/2,-z'
'x+1/2,-y+1/2,z'
loop_
_atom_site_label
_atom_site_fract_x
_atom_site_fract_y
_atom_site_fract_z
Tb1 0.000 0.166 0.000
Dy1 0.000 0.000 0.500
Dy2 0.000 0.333 0.500
Er1 0.246 0.336 0.247
Er2 0.247 0.500 0.751
In1 0.000 0.500 0.000
```



Entry 14:
The following is a DFT calculation (PBE) of an optimized crystal structure of Sc2TiSi.

Computed properties:
Uncorrected formation energy   0.102 eV per atom
DOS at the Fermi energy   23.4 states/eV/cell

Geometry as CIF:
```
data_Sc2TiSi
_symmetry_space_group_name_H-M 'I -4 2 d'
_symmetry_Int_Tables_number 122
_symmetry_space_group_name_Hall 'I -4 2bw'
_cell_length_a 7.683
_cell_length_b 7.683
_cell_length_c 5.461
_cell_angle_alpha 90.00
_cell_angle_beta 90.00
_cell_angle_gamma 90.00
loop_
_atom_site_label
_atom_site_fract_x
_atom_site_fract_y
_atom_site_fract_z
Sc1 0.218 0.250 0.125
Ti1 0.000 0.000 0.500
Si1 0.000 0.000 0.000
```



Entry 15:
The following is a DFT calculation (PBE) of an optimized crystal structure of BaCa4Mo.

Computed properties:
DFT formation energy   4.61 eV/f.u.
DOS at the Fermi energy   16.9 states/eV/cell

Geometry as CIF:
```
data_BaCa4Mo
_symmetry_space_group_name_H-M 'F -4 3 m'
_symmetry_Int_Tables_number 216
_symmetry_space_group_name_Hall 'F -4 2 3'
_cell_length_a 9.953
_cell_length_b 9.953
_cell_length_c 9.953
_cell_angle_alpha 90.00
_cell_angle_beta 90.00
_cell_angle_gamma 90.00
loop_
_atom_site_label
_atom_site_fract_x
_atom_site_fract_y
_atom_site_fract_z
Ba1 0.000 0.000 0.000
Ca1 0.124 0.124 0.624
Mo1 0.250 0.250 0.250
```



Entry 16:
The following is a DFT calculation (PBE) of an optimized crystal structure of BaHN.

Computed properties:
Calculated total energy   -0.36500 Ry per atom
DOS at the Fermi energy   5.1 states/eV/cell

Geometry as CIF:
```
data_BaHN
_symmetry_space_group_name_H-M 'C 1 2/m 1'
_symmetry_Int_Tables_number 12
_cell_length_a 7.654
_cell_length_b 4.409
_cell_length_c 7.341
_cell_angle_alpha 90.00
_cell_angle_beta 96.65
_cell_angle_gamma 90.00
loop_
_symmetry_equiv_pos_as_xyz
'x,y,z'
'-x,-y,-z'
'-x,y,-z'
'x,-y,z'
'x+1/2,y+1/2,z'
'-x+1/2,-y+1/2,-z'
'-x+1/2,y+1/2,-z'
'x+1/2,-y+1/2,z'
loop_
_atom_site_label
_atom_site_fract_x
_atom_site_fract_y
_atom_site_fract_z
Ba1 0.184 0.000 0.245
H1 0.165 0.000 0.873
N1 0.048 0.500 0.438
```



Entry 17:
The following is a DFT calculation (PBE) of an optimized crystal structure of BaGaF4.

Computed properties:
Uncorrected formation energy   -2.823 eV per atom
DOS at the Fermi energy   3.6 states/eV/cell

Geometry as CIF:
```
data_BaGaF4
_symmetry_space_group_name_H-M 'I -4'
_symmetry_Int_Tables_number 82
_cell_length_a 7.577
_cell_length_b 7.577
_cell_length_c 3.729
_cell_angle_alpha 90.00
_cell_angle_beta 90.00
_cell_angle_gamma 90.00
loop_
_symmetry_equiv_pos_as_xyz
'x,y,z'
'y,-x,-z'
'-x,-y,z'
'-y,x,-z'
'x+1/2,y+1/2,z+1/2'
'y+1/2,-x+1/2,-z+1/2'
'-x+1/2,-y+1/2,z+1/2'
'-y+1/2,x+1/2,-z+1/2'
loop_
_atom_site_label
_atom_site_fract_x
_atom_site_fract_y
_atom_site_fract_z
Ba1 0.000 0.000 0.000
Ga1 0.000 0.500 0.250
F1 0.057 0.736 0.463
```



Entry 18:
The following is a DFT calculation (PBE) of an optimized crystal structure of InGa2Sn3.

Computed properties:
DFT formation energy   0.48 eV/f.u.
DOS at the Fermi energy   11.1 states/eV/cell

Geometry as CIF:
```
data_InGa2Sn3
_symmetry_space_group_name_H-M 'I m m a'
_symmetry_Int_Tables_number 74
_symmetry_space_group_name_Hall '-I 2b 2'
_cell_length_a 8.843
_cell_length_b 11.522
_cell_length_c 6.147
_cell_angle_alpha 90.00
_cell_angle_beta 90.00
_cell_angle_gamma 90.00
loop_
_atom_site_label
_atom_site_fract_x
_atom_site_fract_y
_atom_site_fract_z
In1 0.000 0.250 0.105
Ga1 0.000 0.119 0.512
Sn1 0.181 0.000 0.000
Sn2 0.250 0.250 0.750
```



Entry 19:
The following is a DFT calculation (PBE) of an optimized crystal structure of LiEr3Cd12.

Computed properties:
DFT formation energy   -3.52 eV/f.u.
DOS at the Fermi energy   7.6 states/eV/cell

Geometry as CIF:
```
data_LiEr3Cd12
_symmetry_space_group_name_H-M 'P 4/m m m'
_symmetry_Int_Tables_number 123
_symmetry_space_group_name_Hall '-P 4 2'
_cell_length_a 4.525
_cell_length_b 4.525
_cell_length_c 17.966
_cell_angle_alpha 90.00
_cell_angle_beta 90.00
_cell_angle_gamma 90.00
loop_
_atom_site_label
_atom_site_fract_x
_atom_site_fract_y
_atom_site_fract_z
Li1 0.000 0.000 0.000
Er1 0.000 0.000 0.239
Er2 0.000 0.000 0.500
Cd1 0.000 0.500 0.114
Cd2 0.000 0.500 0.370
Cd3 0.500 0.500 0.000
Cd4 0.500 0.500 0.238
Cd5 0.500 0.500 0.500
```



Entry 20:
The following is a DFT calculation (PBE) of an optimized crystal structure of NpS2I.

Computed properties:
Uncorrected formation energy   -0.822 eV per atom
DOS at the Fermi energy   26.1 states/eV/cell
Distance to the lowest polymorph of the same formula   0 meV per atom

Geometry as CIF:
```
data_NpS2I
_symmetry_space_group_name_H-M 'R 3 m'
_symmetry_Int_Tables_number 160
_symmetry_space_group_name_Hall 'R 3 -2"'
_cell_length_a 4.2106
_cell_length_b 4.2106
_cell_length_c 24.2692
_cell_angle_alpha 90.00
_cell_angle_beta 90.00
_cell_angle_gamma 120.00
loop_
_atom_site_label
_atom_site_fract_x
_atom_site_fract_y
_atom_site_fract_z
Np1 0.0000 0.0000 0.0000
S1 0.0000 0.0000 0.3707
S2 0.0000 0.0000 0.6141
I1 0.0000 0.0000 0.1303
```